Record 1
This record from the Alexandria database describes MgAl2Os after structural relaxation. The functional is PBE.

Lattice parameters (Å, degrees): 8.9263 8.9263 8.9263 19.10 19.10 19.10
Atoms (fractional coordinates):
Al 0.0096 0.0096 0.0096
Al 0.4904 0.4904 0.4904
Mg 0.2500 0.2500 0.2500
Os 0.7500 0.7500 0.7500

Values from the calculation:
Polymorph energy (0 for the lowest one) in eV per formula unit: 0.75
D(E_F) in states/eV/cell: 3.3
Uncorrected energy in eV per cell: -20.512
Formation energy from the elements in meV/atom: -51



Record 2
This record from the Alexandria database describes CaSe2Cl after structural relaxation. The functional is PBE.

Lattice parameters (Å, degrees): 9.7817 9.7817 9.7817 21.87 21.87 21.87
Atoms (fractional coordinates):
Ca 0.0000 0.0000 0.0000
Se 0.9058 0.9058 0.9058
Se 0.0942 0.0942 0.0942
Cl 0.5000 0.5000 0.5000

Values from the calculation:
Polymorph energy (0 for the lowest one) in eV per formula unit: 6.45
D(E_F) in states/eV/cell: 6.1
Uncorrected energy in eV per cell: -9.512



Record 3
This record from the Alexandria database describes AgHgRh2 after structural relaxation. The functional is PBE.

Lattice parameters (Å, degrees): 4.0583 4.0583 4.0542 90.00 90.00 90.00
Last column: magnetic moment on the atom in μB.
Atoms (fractional coordinates):
Ag 0.5000 0.5000 0.5000  0.06
Hg 0.0000 0.0000 0.5000  0.01
Rh 0.5000 0.0000 0.0000  0.60
Rh 0.0000 0.5000 0.0000  0.60

Values from the calculation:
D(E_F) in states/eV/cell: 6.0
Uncorrected energy in eV per cell: -16.669
Formation energy from the elements in meV/atom: 297



Record 4
This record from the Alexandria database describes TaCoH after structural relaxation. The functional is PBE.

Lattice parameters (Å, degrees): 4.4285 2.8302 2.8302 120.00 90.00 90.00
Last column: magnetic moment on the atom in μB.
Atoms (fractional coordinates):
H 0.0338 0.0000 0.0000  0.00
Co 0.2433 0.3333 0.6667  0.28
Ta 0.7229 0.6667 0.3333  -0.04

Values from the calculation:
Polymorph energy (0 for the lowest one) in eV per formula unit: 0.31
D(E_F) in states/eV/cell: 2.3
Uncorrected energy in eV per cell: -22.330



Record 5
This record from the Alexandria database describes Hf2Ge2As after structural relaxation. The functional is PBE.

Lattice parameters (Å, degrees): 7.1409 7.1409 3.8707 90.00 90.00 90.00
Atoms (fractional coordinates):
As 0.0000 0.0000 0.0000
As 0.5000 0.5000 0.0000
Hf 0.3243 0.8243 0.0000
Hf 0.8243 0.6757 0.0000
Hf 0.6757 0.1757 0.0000
Hf 0.1757 0.3243 0.0000
Ge 0.1249 0.6249 0.5000
Ge 0.6249 0.8751 0.5000
Ge 0.8751 0.3751 0.5000
Ge 0.3751 0.1249 0.5000

Values from the calculation:
D(E_F) in states/eV/cell: 5.5
Uncorrected energy in eV per cell: -72.708
Formation energy from the elements in meV/atom: -513



Record 6
This record from the Alexandria database describes Ac4Al3O10 after structural relaxation. The functional is PBE.

Lattice parameters (Å, degrees): 3.8801 3.8801 14.5784 97.65 97.65 90.00
Last column: magnetic moment on the atom in μB.
Atoms (fractional coordinates):
Ac 0.5679 0.5679 0.1357  0.00
Ac 0.4321 0.4321 0.8643  0.00
Ac 0.2968 0.2968 0.5935  0.10
Ac 0.7032 0.7032 0.4065  0.10
Al 0.1363 0.1363 0.2725  0.00
Al 0.8637 0.8637 0.7275  0.00
Al 0.0000 0.0000 0.0000  0.00
O 0.1358 0.6358 0.2717  0.00
O 0.0680 0.0680 0.1360  0.00
O 0.6358 0.1358 0.2717  0.00
O 0.8642 0.3642 0.7283  0.00
O 0.3642 0.8642 0.7283  0.00
O 0.9320 0.9320 0.8640  0.00
O 0.2052 0.2052 0.4104  0.00
O 0.7948 0.7948 0.5896  0.00
O 0.0000 0.5000 0.0000  0.00
O 0.5000 0.0000 0.0000  0.00

Values from the calculation:
D(E_F) in states/eV/cell: 2.1
Uncorrected energy in eV per cell: -130.998



Record 7
This record from the Alexandria database describes Gd2ThZr after structural relaxation. The functional is PBE.

Lattice parameters (Å, degrees): 3.4082 3.4082 12.0923 81.90 81.90 60.00
Last column: magnetic moment on the atom in μB.
Atoms (fractional coordinates):
Gd 0.0869 0.0869 0.7394  -7.12
Gd 0.9131 0.9131 0.2606  -7.12
Zr 0.0000 0.0000 0.0000  -0.05
Th 0.5000 0.5000 0.5000  0.15

Values from the calculation:
Polymorph energy (0 for the lowest one) in eV per formula unit: 0.84
D(E_F) in states/eV/cell: 6.1
Uncorrected energy in eV per cell: -42.897
Formation energy from the elements in meV/atom: 308



Record 8
This record from the Alexandria database describes Na2TiPt after structural relaxation. The functional is PBE.

Lattice parameters (Å, degrees): 4.7430 4.7430 4.7430 60.00 60.00 60.00
Atoms (fractional coordinates):
Na 0.2500 0.2500 0.2500
Na 0.7500 0.7500 0.7500
Pt 0.5000 0.5000 0.5000
Ti 0.0000 0.0000 0.0000

Values from the calculation:
Polymorph energy (0 for the lowest one) in eV per formula unit: 0.63
D(E_F) in states/eV/cell: 6.1
Uncorrected energy in eV per cell: -14.295
Formation energy from the elements in meV/atom: 570



Record 9
This record from the Alexandria database describes CdBi2SbRh after structural relaxation. The functional is PBE.

Lattice parameters (Å, degrees): 5.5778 5.5778 4.9890 90.00 90.00 90.00
Atoms (fractional coordinates):
Sb 0.5000 0.5000 0.5000
Rh 0.0000 0.0000 0.5000
Bi 0.0000 0.5000 0.0000
Bi 0.5000 0.0000 0.0000
Cd 0.0000 0.0000 0.0000

Values from the calculation:
D(E_F) in states/eV/cell: 6.7
Uncorrected energy in eV per cell: -15.669



Record 10
This record from the Alexandria database describes Pr2Lu4C after structural relaxation. The functional is PBE.

Lattice parameters (Å, degrees): 4.7242 4.7242 9.8815 76.17 76.17 90.00
Atoms (fractional coordinates):
Pr 0.6837 0.6837 0.6326
Pr 0.3163 0.3163 0.3674
C 0.0000 0.0000 0.0000
Lu 0.8733 0.8733 0.2534
Lu 0.1267 0.1267 0.7466
Lu 0.0000 0.5000 0.0000
Lu 0.5000 0.0000 0.0000

Values from the calculation:
D(E_F) in states/eV/cell: 13.1
Uncorrected energy in eV per cell: -36.334
Formation energy from the elements in meV/atom: 76



Record 11
This record from the Alexandria database describes Te2AsRh after structural relaxation. The functional is PBE.

Lattice parameters (Å, degrees): 6.8000 6.8000 6.8000 147.95 143.63 49.25
Atoms (fractional coordinates):
As 0.7500 0.2500 0.5000
Te 0.0916 0.0916 0.0000
Te 0.4084 0.4084 0.0000
Rh 0.2500 0.7500 0.5000

Values from the calculation:
D(E_F) in states/eV/cell: 3.0
Uncorrected energy in eV per cell: -18.423



Record 12
This record from the Alexandria database describes InSbRh2 after structural relaxation. The functional is PBE.

Lattice parameters (Å, degrees): 4.1331 4.1331 5.8236 69.22 69.22 60.00
Atoms (fractional coordinates):
In 0.4922 0.4922 0.5233
Sb 0.6736 0.6736 0.9792
Rh 0.0692 0.0692 0.7924
Rh 0.2649 0.2649 0.2052

Values from the calculation:
D(E_F) in states/eV/cell: 0.9
Uncorrected energy in eV per cell: -22.530



no.,calculated density (g/cm3)
1,6.7
2,3.4
3,12.8
4,13.0
5,9.7
6,8.9
7,8.8
8,6.4
9,8.1
10,8.0
11,7.3
12,9.3